MnPtO2F | PBE+U | relaxed

Unit cell a=4.0072 b=4.0072 c=4.2802 alpha=90.00 beta=90.00 gamma=90.00
With the nearest neighbours (Å) after each atom.
Positions (direct):
1 Mn 0.5000 0.5000 0.5000  4 F 2.83, 8 O 2.93
2 O 0.0000 0.5000 0.0000  2 Pt 2.00
3 O 0.5000 0.0000 0.0000  2 Pt 2.00
4 Pt 0.0000 0.0000 0.0000  4 O 2.00, 2 F 2.14
5 F 0.0000 0.0000 0.5000  2 Pt 2.14

Calculated values
Its space group is P4/mmm, No. 123. Its energy is -5.519 eV/atom. The crystal system is tetragonal.